[1]
First-principles (PBE) data for a geometry-optimized In10HgPb4 structure, as listed in the Alexandria database.

Unit cell a=9.0846 b=9.0846 c=9.0846 alpha=98.31 beta=98.31 gamma=135.30
Fractional coordinates of all 15 atoms:
In  0.0530  0.1600  0.7235
In  0.1600  0.4365  0.1070
In  0.2500  0.7500  0.5000
In  0.3295  0.0530  0.8930
In  0.4365  0.3295  0.2765
In  0.5635  0.6705  0.7235
In  0.6705  0.9470  0.1070
In  0.7500  0.2500  0.5000
In  0.8400  0.5635  0.8930
In  0.9470  0.8400  0.2765
Hg  0.5000  0.5000  0.0000
Pb  0.1168  0.3025  0.4193
Pb  0.3025  0.8832  0.1857
Pb  0.6975  0.1168  0.8143
Pb  0.8832  0.6975  0.5807

Values from the calculation:
formation energy from the elements = 116 meV per atom
total magnetic moment = 0.00 Bohr magnetons per cell
total energy = -0.100 hartree per atom

***

[2]
First-principles (PBE) data for a geometry-optimized In2Hg3Pb7 structure, as listed in the Alexandria database.

Unit cell a=6.3503 b=3.3543 c=16.8465 alpha=90.00 beta=96.62 gamma=90.00
Fractional coordinates of all 12 atoms:
In  0.0012  0.0000  0.3286
In  0.9988  0.0000  0.6714
Hg  0.4796  0.5000  0.3369
Hg  0.5000  0.0000  0.0000
Hg  0.5204  0.5000  0.6631
Pb  0.0000  0.5000  0.0000
Pb  0.2435  0.5000  0.8299
Pb  0.2546  0.0000  0.5095
Pb  0.2688  0.0000  0.1669
Pb  0.7312  0.0000  0.8331
Pb  0.7454  0.0000  0.4905
Pb  0.7565  0.5000  0.1701

Values from the calculation:
formation energy from the elements = 46 meV per atom
total magnetic moment = 0.00 Bohr magnetons per cell
total energy = -0.097 hartree per atom

***

[3]
First-principles (PBE) data for a geometry-optimized In2Hg8Pb3 structure, as listed in the Alexandria database.

Unit cell a=10.8048 b=10.8048 c=3.5766 alpha=90.32 beta=90.32 gamma=63.32
Fractional coordinates of all 13 atoms:
In  0.2206  0.2206  0.4929
In  0.7794  0.7794  0.5071
Hg  0.0836  0.0836  0.9885
Hg  0.0922  0.5853  0.4987
Hg  0.3531  0.3531  0.9976
Hg  0.4147  0.9078  0.5013
Hg  0.5853  0.0922  0.4987
Hg  0.6469  0.6469  0.0024
Hg  0.9078  0.4147  0.5013
Hg  0.9164  0.9164  0.0115
Pb  0.2490  0.7510  0.0000
Pb  0.5000  0.5000  0.5000
Pb  0.7510  0.2490  0.0000

Values from the calculation:
formation energy from the elements = 48 meV per atom
total magnetic moment = 0.00 Bohr magnetons per cell
total energy = -0.052 hartree per atom
excess energy over the best structure of this formula in the dataset = 0.0 meV per atom

***

[4]
First-principles (PBE) data for a geometry-optimized InHg2Pb structure, as listed in the Alexandria database.

Unit cell a=9.8839 b=9.8839 c=9.8839 alpha=21.29 beta=21.29 gamma=21.29
Fractional coordinates of all 4 atoms:
In  0.0000  0.0000  0.0000
Hg  0.4133  0.4133  0.4133
Hg  0.5877  0.5877  0.5877
Pb  0.8344  0.8344  0.8344

Values from the calculation:
formation energy from the elements = 22 meV per atom
total magnetic moment = 0.00 Bohr magnetons per cell
total energy = -0.064 hartree per atom

***

[5]
First-principles (PBE) data for a geometry-optimized In8HgPb4 structure, as listed in the Alexandria database.

Unit cell a=4.4379 b=4.8461 c=17.9145 alpha=90.00 beta=90.00 gamma=90.00
Fractional coordinates of all 13 atoms:
In  0.0000  0.0000  0.0000
In  0.0000  0.0000  0.2761
In  0.0000  0.5000  0.4261
In  0.0000  0.5000  0.7245
In  0.5000  0.0000  0.1337
In  0.5000  0.0000  0.7199
In  0.5000  0.5000  0.2820
In  0.5000  0.5000  0.5787
Hg  0.0000  0.0000  0.8400
Pb  0.0000  0.0000  0.5762
Pb  0.0000  0.5000  0.1253
Pb  0.5000  0.0000  0.4243
Pb  0.5000  0.5000  0.9688

Values from the calculation:
formation energy from the elements = 53 meV per atom
total magnetic moment = 0.00 Bohr magnetons per cell
total energy = -0.103 hartree per atom

***

[6]
First-principles (PBE) data for a geometry-optimized In2Hg10Pb structure, as listed in the Alexandria database.

Unit cell a=10.6310 b=9.1176 c=7.3383 alpha=79.68 beta=57.54 gamma=42.77
Fractional coordinates of all 13 atoms:
In  0.0000  0.0000  0.5000
In  0.5000  0.5000  0.0000
Hg  0.9999  0.2265  0.7735
Hg  0.0000  0.5000  0.0000
Hg  0.0001  0.7735  0.2265
Hg  0.1895  0.4996  0.5004
Hg  0.2265  0.9999  0.0001
Hg  0.5000  0.0000  0.5000
Hg  0.4996  0.1895  0.8105
Hg  0.5004  0.8105  0.1895
Hg  0.7735  0.0001  0.9999
Hg  0.8105  0.5004  0.4996
Pb  0.5000  0.5000  0.5000

Values from the calculation:
formation energy from the elements = 79 meV per atom
total magnetic moment = 0.00 Bohr magnetons per cell
total energy = -0.032 hartree per atom

***

[7]
First-principles (PBE) data for a geometry-optimized InHgPb4 structure, as listed in the Alexandria database.

Unit cell a=11.4648 b=11.4648 c=6.6329 alpha=90.00 beta=90.00 gamma=152.94
Fractional coordinates of all 12 atoms:
In  0.1360  0.8640  0.5000
In  0.8640  0.1360  0.0000
Hg  0.4321  0.5679  0.3169
Hg  0.5679  0.4321  0.8169
Pb  0.1237  0.8763  0.0083
Pb  0.2913  0.7087  0.6467
Pb  0.2924  0.7076  0.1509
Pb  0.4311  0.5689  0.8255
Pb  0.5689  0.4311  0.3255
Pb  0.7076  0.2924  0.6509
Pb  0.7087  0.2913  0.1467
Pb  0.8763  0.1237  0.5083

Values from the calculation:
formation energy from the elements = 104 meV per atom
total magnetic moment = 0.00 Bohr magnetons per cell
total energy = -0.106 hartree per atom
excess energy over the best structure of this formula in the dataset = 69.6 meV per atom

***

[8]
First-principles (PBE) data for a geometry-optimized In3HgPb structure, as listed in the Alexandria database.

Unit cell a=5.5563 b=5.5563 c=5.5563 alpha=90.00 beta=90.00 gamma=90.00
Fractional coordinates of all 5 atoms:
In  0.0000  0.0000  0.5000
In  0.0000  0.5000  0.0000
In  0.5000  0.0000  0.0000
Hg  0.0000  0.0000  0.0000
Pb  0.5000  0.5000  0.5000

Values from the calculation:
formation energy from the elements = 356 meV per atom
total magnetic moment = 0.00 Bohr magnetons per cell
total energy = -0.077 hartree per atom
excess energy over the best structure of this formula in the dataset = 286.1 meV per atom

***

[9]
First-principles (PBE) data for a geometry-optimized In4Hg5Pb structure, as listed in the Alexandria database.

Unit cell a=6.4496 b=12.2050 c=7.3918 alpha=90.00 beta=90.00 gamma=90.00
Fractional coordinates of all 20 atoms:
In  0.9997  0.2500  0.1192
In  0.0003  0.7500  0.8808
In  0.2500  0.0096  0.5005
In  0.2500  0.4904  0.5005
In  0.5003  0.2500  0.1192
In  0.4997  0.7500  0.8808
In  0.7500  0.5096  0.4995
In  0.7500  0.9904  0.4995
Hg  0.0014  0.5794  0.1617
Hg  0.0014  0.9206  0.1617
Hg  0.2500  0.2500  0.4792
Hg  0.4986  0.5794  0.1617
Hg  0.4986  0.9206  0.1617
Hg  0.5014  0.0794  0.8383
Hg  0.5014  0.4206  0.8383
Hg  0.7500  0.7500  0.5208
Hg  0.9986  0.0794  0.8383
Hg  0.9986  0.4206  0.8383
Pb  0.2500  0.7500  0.4924
Pb  0.7500  0.2500  0.5076

Values from the calculation:
formation energy from the elements = 69 meV per atom
total magnetic moment = 0.00 Bohr magnetons per cell
total energy = -0.057 hartree per atom
excess energy over the best structure of this formula in the dataset = 61.7 meV per atom

***

[10]
First-principles (PBE) data for a geometry-optimized InHg5Pb2 structure, as listed in the Alexandria database.

Unit cell a=7.0469 b=13.0874 c=4.7658 alpha=90.00 beta=90.00 gamma=90.00
Fractional coordinates of all 16 atoms:
In  0.0000  0.0000  0.0000
In  0.5000  0.5000  0.0000
Hg  0.0000  0.5000  0.0000
Hg  0.0381  0.2471  0.0000
Hg  0.2321  0.9070  0.5000
Hg  0.2679  0.4070  0.5000
Hg  0.4619  0.7471  0.0000
Hg  0.5000  0.0000  0.0000
Hg  0.5381  0.2529  0.0000
Hg  0.7321  0.5930  0.5000
Hg  0.7679  0.0930  0.5000
Hg  0.9619  0.7529  0.0000
Pb  0.2118  0.6587  0.5000
Pb  0.2882  0.1587  0.5000
Pb  0.7118  0.8413  0.5000
Pb  0.7882  0.3413  0.5000

Values from the calculation:
formation energy from the elements = 39 meV per atom
total magnetic moment = 0.00 Bohr magnetons per cell
total energy = -0.052 hartree per atom
excess energy over the best structure of this formula in the dataset = 3.2 meV per atom

***

[11]
First-principles (PBE) data for a geometry-optimized InHg2Pb structure, as listed in the Alexandria database.

Unit cell a=3.3306 b=5.8159 c=5.8183 alpha=90.00 beta=90.00 gamma=90.00
Fractional coordinates of all 4 atoms:
In  0.0000  0.0000  0.0000
Hg  0.0000  0.5000  0.5000
Hg  0.5000  0.0000  0.5000
Pb  0.5000  0.5000  0.0000

Values from the calculation:
formation energy from the elements = 27 meV per atom
total magnetic moment = 0.00 Bohr magnetons per cell
total energy = -0.064 hartree per atom

***

[12]
First-principles (PBE) data for a geometry-optimized InHgPb3 structure, as listed in the Alexandria database.

Unit cell a=3.5031 b=7.8093 c=11.4826 alpha=99.52 beta=98.33 gamma=102.64
Fractional coordinates of all 10 atoms:
In  0.1282  0.1078  0.1444
In  0.8718  0.8922  0.8556
Hg  0.3670  0.0843  0.6745
Hg  0.6330  0.9157  0.3255
Pb  0.1112  0.4947  0.7300
Pb  0.3684  0.2725  0.4537
Pb  0.3698  0.6971  0.0491
Pb  0.6302  0.3029  0.9509
Pb  0.6316  0.7275  0.5463
Pb  0.8888  0.5053  0.2700

Values from the calculation:
formation energy from the elements = 24 meV per atom
total magnetic moment = 0.00 Bohr magnetons per cell
total energy = -0.103 hartree per atom
excess energy over the best structure of this formula in the dataset = 0.0 meV per atom

***

[13]
First-principles (PBE) data for a geometry-optimized In5Hg3Pb structure, as listed in the Alexandria database.

Unit cell a=8.9777 b=8.9777 c=9.2897 alpha=90.20 beta=90.20 gamma=44.76
Fractional coordinates of all 18 atoms:
In  0.1049  0.5785  0.9443
In  0.1100  0.5726  0.5548
In  0.2314  0.7686  0.7500
In  0.4215  0.8951  0.5557
In  0.4274  0.8900  0.9452
In  0.5726  0.1100  0.0548
In  0.5785  0.1049  0.4443
In  0.7686  0.2314  0.2500
In  0.8900  0.4274  0.4452
In  0.8951  0.4215  0.0557
Hg  0.0879  0.2953  0.7508
Hg  0.2953  0.0879  0.2508
Hg  0.5000  0.5000  0.0000
Hg  0.5000  0.5000  0.5000
Hg  0.7047  0.9121  0.7492
Hg  0.9121  0.7047  0.2492
Pb  0.2152  0.7848  0.2500
Pb  0.7848  0.2152  0.7500

Values from the calculation:
formation energy from the elements = 76 meV per atom
total magnetic moment = 0.00 Bohr magnetons per cell
total energy = -0.072 hartree per atom
excess energy over the best structure of this formula in the dataset = 55.7 meV per atom

***

[14]
First-principles (PBE) data for a geometry-optimized InHg3Pb structure, as listed in the Alexandria database.

Unit cell a=5.5287 b=5.5287 c=5.5287 alpha=90.00 beta=90.00 gamma=90.00
Fractional coordinates of all 5 atoms:
In  0.0000  0.0000  0.0000
Hg  0.0000  0.0000  0.5000
Hg  0.0000  0.5000  0.0000
Hg  0.5000  0.0000  0.0000
Pb  0.5000  0.5000  0.5000

Values from the calculation:
formation energy from the elements = 302 meV per atom
total magnetic moment = 0.00 Bohr magnetons per cell
total energy = -0.043 hartree per atom
excess energy over the best structure of this formula in the dataset = 272.2 meV per atom

***

[15]
First-principles (PBE) data for a geometry-optimized In4Hg2Pb5 structure, as listed in the Alexandria database.

Unit cell a=12.1661 b=12.1661 c=9.2153 alpha=108.91 beta=108.91 gamma=15.50
Fractional coordinates of all 11 atoms:
In  0.0003  0.0003  0.1686
In  0.9997  0.9997  0.8314
In  0.3790  0.3790  0.6245
In  0.6210  0.6210  0.3755
Hg  0.1274  0.1274  0.0611
Hg  0.8726  0.8726  0.9389
Pb  0.1311  0.1311  0.7244
Pb  0.2491  0.2491  0.3317
Pb  0.5000  0.5000  0.5000
Pb  0.7509  0.7509  0.6683
Pb  0.8689  0.8689  0.2756

Values from the calculation:
formation energy from the elements = 62 meV per atom
total magnetic moment = 0.00 Bohr magnetons per cell
total energy = -0.098 hartree per atom
excess energy over the best structure of this formula in the dataset = 0.0 meV per atom

***

[16]
First-principles (PBE) data for a geometry-optimized In3Hg3Pb structure, as listed in the Alexandria database.

Unit cell a=8.0056 b=8.0056 c=8.0056 alpha=90.00 beta=90.00 gamma=90.00
Fractional coordinates of all 14 atoms:
In  0.0000  0.2500  0.5000
In  0.0000  0.7500  0.5000
In  0.2500  0.5000  0.0000
In  0.5000  0.0000  0.2500
In  0.5000  0.0000  0.7500
In  0.7500  0.5000  0.0000
Hg  0.0000  0.5000  0.2500
Hg  0.0000  0.5000  0.7500
Hg  0.2500  0.0000  0.5000
Hg  0.5000  0.2500  0.0000
Hg  0.5000  0.7500  0.0000
Hg  0.7500  0.0000  0.5000
Pb  0.0000  0.0000  0.0000
Pb  0.5000  0.5000  0.5000

Values from the calculation:
formation energy from the elements = 333 meV per atom
total magnetic moment = 0.00 Bohr magnetons per cell
total energy = -0.055 hartree per atom
excess energy over the best structure of this formula in the dataset = 296.4 meV per atom

***

[17]
First-principles (PBE) data for a geometry-optimized InHg4Pb3 structure, as listed in the Alexandria database.

Unit cell a=8.4936 b=8.4936 c=8.4936 alpha=157.60 beta=97.94 gamma=86.41
Fractional coordinates of all 8 atoms:
In  0.0000  0.0000  0.0000
Hg  0.1224  0.8724  0.2500
Hg  0.3776  0.1276  0.2500
Hg  0.6224  0.8724  0.7500
Hg  0.8776  0.1276  0.7500
Pb  0.2426  0.7426  0.5000
Pb  0.5000  0.5000  0.0000
Pb  0.7574  0.2574  0.5000

Values from the calculation:
formation energy from the elements = 25 meV per atom
total magnetic moment = 0.00 Bohr magnetons per cell
total energy = -0.068 hartree per atom

***

[18]
First-principles (PBE) data for a geometry-optimized In2Hg9Pb structure, as listed in the Alexandria database.

Unit cell a=5.2616 b=5.7145 c=10.7880 alpha=90.00 beta=90.00 gamma=90.00
Fractional coordinates of all 12 atoms:
In  0.0000  0.0000  0.1643
In  0.0000  0.0000  0.8357
Hg  0.0000  0.5000  0.0000
Hg  0.0000  0.5000  0.3316
Hg  0.0000  0.5000  0.6684
Hg  0.5000  0.0000  0.0000
Hg  0.5000  0.0000  0.3254
Hg  0.5000  0.0000  0.6746
Hg  0.5000  0.5000  0.1662
Hg  0.5000  0.5000  0.5000
Hg  0.5000  0.5000  0.8338
Pb  0.0000  0.0000  0.5000

Values from the calculation:
formation energy from the elements = 21 meV per atom
total magnetic moment = 0.00 Bohr magnetons per cell
total energy = -0.036 hartree per atom
excess energy over the best structure of this formula in the dataset = 0.0 meV per atom

***

[19]
First-principles (PBE) data for a geometry-optimized In3Hg4Pb2 structure, as listed in the Alexandria database.

Unit cell a=5.3681 b=6.7055 c=7.4585 alpha=105.19 beta=100.65 gamma=98.04
Fractional coordinates of all 9 atoms:
In  0.0000  0.0000  0.0000
In  0.4342  0.6670  0.8923
In  0.5658  0.3330  0.1077
Hg  0.1173  0.6729  0.2185
Hg  0.3471  0.0006  0.6754
Hg  0.6529  0.9994  0.3246
Hg  0.8827  0.3271  0.7815
Pb  0.2153  0.3278  0.4468
Pb  0.7847  0.6722  0.5532

Values from the calculation:
formation energy from the elements = 28 meV per atom
total magnetic moment = 0.00 Bohr magnetons per cell
total energy = -0.068 hartree per atom
excess energy over the best structure of this formula in the dataset = 4.4 meV per atom

***

[20]
First-principles (PBE) data for a geometry-optimized In3HgPb structure, as listed in the Alexandria database.

Unit cell a=5.1795 b=5.1795 c=12.6069 alpha=90.17 beta=90.17 gamma=60.00
Fractional coordinates of all 10 atoms:
In  0.0000  0.0000  0.0000
In  0.9997  0.9997  0.3260
In  0.3332  0.3332  0.1186
In  0.3332  0.3332  0.6186
In  0.6664  0.6664  0.8260
In  0.6667  0.6667  0.5000
Hg  0.3332  0.3332  0.3779
Hg  0.3332  0.3332  0.8779
Pb  0.9998  0.9998  0.6909
Pb  0.6665  0.6665  0.1909

Values from the calculation:
formation energy from the elements = 70 meV per atom
total magnetic moment = 0.00 Bohr magnetons per cell
total energy = -0.087 hartree per atom
excess energy over the best structure of this formula in the dataset = 0.0 meV per atom